(1)
# BaSn3 | the Alexandria database | PBE-GGA | optimized geometry
data_BaSn3
_chemical_formula_sum 'Ba2 Sn6'
_space_group_name_H-M_alt 'I 4/m m m'
_space_group_IT_number 139
_space_group_name_Hall '-I 4 2'
_cell_length_a 4.8412
_cell_length_b 4.8412
_cell_length_c 12.6823
_cell_angle_alpha 90.00
_cell_angle_beta 90.00
_cell_angle_gamma 90.00
loop_
_atom_site_label
_atom_site_fract_x
_atom_site_fract_y
_atom_site_fract_z
Ba1 0.0000 0.0000 0.0000
Sn1 0.0000 0.0000 0.2787
Sn2 0.0000 0.0000 0.5000
# DOS(E_F) in states/eV per cell: 5.09
# Total energy in eV/atom: -3.629

(2)
# Ba2Sn7 | the Alexandria database | PBE-GGA | optimized geometry
data_Ba2Sn7
_chemical_formula_sum 'Ba12 Sn42'
_space_group_name_H-M_alt 'R -3 m'
_space_group_IT_number 166
_space_group_name_Hall '-R 3 2"'
_cell_length_a 6.4833
_cell_length_b 6.4833
_cell_length_c 48.5183
_cell_angle_alpha 90.00
_cell_angle_beta 90.00
_cell_angle_gamma 120.00
loop_
_atom_site_label
_atom_site_fract_x
_atom_site_fract_y
_atom_site_fract_z
Ba1 0.0000 0.0000 0.0545
Ba2 0.0000 0.0000 0.1494
Sn1 0.0000 0.0000 0.2779
Sn2 0.0000 0.0000 0.3890
Sn3 0.0000 0.0000 0.5000
Sn4 0.0000 0.5000 0.0000
Sn5 0.0003 0.5001 0.1104
# DOS(E_F) in states/eV per cell: 25.73
# Total energy in eV/atom: -3.863

(3)
# BaSn5 | the Alexandria database | PBE-GGA | optimized geometry
data_BaSn5
_chemical_formula_sum 'Ba1 Sn5'
_space_group_name_H-M_alt 'P 6/m m m'
_space_group_IT_number 191
_space_group_name_Hall '-P 6 2'
_cell_length_a 5.4509
_cell_length_b 5.4509
_cell_length_c 7.1924
_cell_angle_alpha 90.00
_cell_angle_beta 90.00
_cell_angle_gamma 120.00
loop_
_atom_site_label
_atom_site_fract_x
_atom_site_fract_y
_atom_site_fract_z
Ba1 0.0000 0.0000 0.0000
Sn1 0.0000 0.0000 0.5000
Sn2 0.3333 0.6667 0.2938
# DOS(E_F) in states/eV per cell: 3.44
# E above lowest polymorph in meV/atom: 0
# Total energy in eV/atom: -3.957

(4)
# BaSn4 | the Alexandria database | PBE-GGA | optimized geometry
data_BaSn4
_chemical_formula_sum 'Ba1 Sn4'
_space_group_name_H-M_alt 'P m -3 m'
_space_group_IT_number 221
_space_group_name_Hall '-P 4 2 3'
_cell_length_a 6.1352
_cell_length_b 6.1352
_cell_length_c 6.1352
_cell_angle_alpha 90.00
_cell_angle_beta 90.00
_cell_angle_gamma 90.00
loop_
_atom_site_label
_atom_site_fract_x
_atom_site_fract_y
_atom_site_fract_z
Ba1 0.0000 0.0000 0.0000
Sn1 0.0000 0.0000 0.5000
Sn2 0.5000 0.5000 0.5000
# DOS(E_F) in states/eV per cell: 5.23
# Total energy in eV/atom: -2.605

(5)
# Ba3Sn | the Alexandria database | PBE-GGA | optimized geometry
data_Ba3Sn
_chemical_formula_sum 'Ba3 Sn1'
_space_group_name_H-M_alt 'P m m 2'
_space_group_IT_number 25
_space_group_name_Hall 'P 2 -2'
_cell_length_a 4.1805
_cell_length_b 4.2372
_cell_length_c 12.3913
_cell_angle_alpha 90.00
_cell_angle_beta 90.00
_cell_angle_gamma 90.00
loop_
_atom_site_label
_atom_site_fract_x
_atom_site_fract_y
_atom_site_fract_z
Ba1 0.0000 0.0000 0.0000
Ba2 0.0000 0.5000 0.3209
Ba3 0.5000 0.5000 0.7048
Sn1 0.5000 0.0000 0.4819
# DOS(E_F) in states/eV per cell: 4.07
# E above lowest polymorph in meV/atom: 251
# Total energy in eV/atom: -2.575

(6)
# BaSn5 | the Alexandria database | PBE-GGA | optimized geometry
data_BaSn5
_chemical_formula_sum 'Ba2 Sn10'
_space_group_name_H-M_alt 'C m m m'
_space_group_IT_number 65
_space_group_name_Hall '-C 2 2'
_cell_length_a 5.6241
_cell_length_b 15.6301
_cell_length_c 4.1751
_cell_angle_alpha 90.00
_cell_angle_beta 90.00
_cell_angle_gamma 90.00
loop_
_atom_site_label
_atom_site_fract_x
_atom_site_fract_y
_atom_site_fract_z
Ba1 0.0000 0.0000 0.0000
Sn1 0.0000 0.1907 0.5000
Sn2 0.0000 0.3390 0.0000
Sn3 0.0000 0.5000 0.5000
# DOS(E_F) in states/eV per cell: 6.82
# E above lowest polymorph in meV/atom: 117
# Total energy in eV/atom: -3.840

(7)
# BaSn3 | the Alexandria database | PBE-GGA | optimized geometry
data_BaSn3
_chemical_formula_sum 'Ba2 Sn6'
_space_group_name_H-M_alt 'P 63/m m c'
_space_group_IT_number 194
_space_group_name_Hall '-P 6c 2c'
_cell_length_a 7.2350
_cell_length_b 7.2350
_cell_length_c 5.8290
_cell_angle_alpha 90.00
_cell_angle_beta 90.00
_cell_angle_gamma 120.00
loop_
_atom_site_label
_atom_site_fract_x
_atom_site_fract_y
_atom_site_fract_z
Ba1 0.3333 0.6667 0.2500
Sn1 0.1395 0.2790 0.7500
# DOS(E_F) in states/eV per cell: 6.33
# Total energy in eV/atom: -3.924

(8)
# Ba3SrSn12 | the Alexandria database | PBE-GGA | optimized geometry
data_Ba3SrSn12
_chemical_formula_sum 'Ba3 Sr1 Sn12'
_space_group_name_H-M_alt 'P m m 2'
_space_group_IT_number 25
_space_group_name_Hall 'P 2 -2'
_cell_length_a 5.6442
_cell_length_b 7.2307
_cell_length_c 12.5310
_cell_angle_alpha 90.00
_cell_angle_beta 90.00
_cell_angle_gamma 90.00
loop_
_atom_site_label
_atom_site_fract_x
_atom_site_fract_y
_atom_site_fract_z
Ba1 0.0000 0.0000 0.0000
Ba2 0.0000 0.5000 0.4992
Ba3 0.5000 0.0000 0.3337
Sr1 0.5000 0.5000 0.8336
Sn1 0.0000 0.0000 0.5295
Sn2 0.0000 0.2163 0.7407
Sn3 0.0000 0.2891 0.2335
Sn4 0.0000 0.5000 0.0192
Sn5 0.5000 0.0000 0.8122
Sn6 0.5000 0.2138 0.6007
Sn7 0.5000 0.2881 0.0918
Sn8 0.5000 0.5000 0.3042
# DOS(E_F) in states/eV per cell: 6.99
# Total energy in eV/atom: -3.914

(9)
# Ba2Sr2Sn15 | the Alexandria database | PBE-GGA | optimized geometry
data_Ba2Sr2Sn15
_chemical_formula_sum 'Ba6 Sr6 Sn45'
_space_group_name_H-M_alt 'R -3 m'
_space_group_IT_number 166
_space_group_name_Hall '-R 3 2"'
_cell_length_a 10.9011
_cell_length_b 10.9011
_cell_length_c 17.4009
_cell_angle_alpha 90.00
_cell_angle_beta 90.00
_cell_angle_gamma 120.00
loop_
_atom_site_label
_atom_site_fract_x
_atom_site_fract_y
_atom_site_fract_z
Ba1 0.0000 0.0000 0.1456
Sr1 0.0000 0.0000 0.3940
Sn1 0.0000 0.2922 0.5000
Sn2 0.0000 0.5000 0.0000
Sn3 0.0041 0.5020 0.6382
# DOS(E_F) in states/eV per cell: 34.00
# Total energy in eV/atom: -3.823

(10)
# BaSrSn2 | the Alexandria database | PBE-GGA | optimized geometry
data_BaSrSn2
_chemical_formula_sum 'Ba1 Sr1 Sn2'
_space_group_name_H-M_alt 'P 4/m m m'
_space_group_IT_number 123
_space_group_name_Hall '-P 4 2'
_cell_length_a 5.2904
_cell_length_b 5.2904
_cell_length_c 4.9641
_cell_angle_alpha 90.00
_cell_angle_beta 90.00
_cell_angle_gamma 90.00
loop_
_atom_site_label
_atom_site_fract_x
_atom_site_fract_y
_atom_site_fract_z
Ba1 0.0000 0.0000 0.0000
Sr1 0.5000 0.5000 0.0000
Sn1 0.0000 0.5000 0.5000
# DOS(E_F) in states/eV per cell: 1.13
# Total energy in eV/atom: -3.461

(11)
# BaSrSn2 | the Alexandria database | PBE-GGA | optimized geometry
data_BaSrSn2
_chemical_formula_sum 'Ba3 Sr3 Sn6'
_space_group_name_H-M_alt 'R -3 m'
_space_group_IT_number 166
_space_group_name_Hall '-R 3 2"'
_cell_length_a 4.1358
_cell_length_b 4.1358
_cell_length_c 31.4897
_cell_angle_alpha 90.00
_cell_angle_beta 90.00
_cell_angle_gamma 120.00
loop_
_atom_site_label
_atom_site_fract_x
_atom_site_fract_y
_atom_site_fract_z
Ba1 0.0000 0.0000 0.0000
Sr1 0.0000 0.0000 0.5000
Sn1 0.0000 0.0000 0.2472
# DOS(E_F) in states/eV per cell: 5.63
# Total energy in eV/atom: -3.261

(12)
# Ba2SrSn | the Alexandria database | PBE-GGA | optimized geometry
data_Ba2SrSn
_chemical_formula_sum 'Ba6 Sr3 Sn3'
_space_group_name_H-M_alt 'R 3 m'
_space_group_IT_number 160
_space_group_name_Hall 'R 3 -2"'
_cell_length_a 5.7834
_cell_length_b 5.7834
_cell_length_c 23.2773
_cell_angle_alpha 90.00
_cell_angle_beta 90.00
_cell_angle_gamma 120.00
loop_
_atom_site_label
_atom_site_fract_x
_atom_site_fract_y
_atom_site_fract_z
Ba1 0.0000 0.0000 0.0000
Ba2 0.0000 0.0000 0.2268
Sr1 0.0000 0.0000 0.7698
Sn1 0.0000 0.0000 0.6200
# DOS(E_F) in states/eV per cell: 9.12
# Total energy in eV/atom: -2.600

(13)
# BaSr3Sn2 | the Alexandria database | PBE-GGA | optimized geometry
data_BaSr3Sn2
_chemical_formula_sum 'Ba2 Sr6 Sn4'
_space_group_name_H-M_alt 'P m c 21'
_space_group_IT_number 26
_space_group_name_Hall 'P 2c -2'
_cell_length_a 5.4304
_cell_length_b 10.2058
_cell_length_c 8.7083
_cell_angle_alpha 90.00
_cell_angle_beta 90.00
_cell_angle_gamma 90.00
loop_
_atom_site_label
_atom_site_fract_x
_atom_site_fract_y
_atom_site_fract_z
Ba1 0.0000 0.0696 0.0000
Sr1 0.0000 0.3268 0.6290
Sr2 0.5000 0.1797 0.3271
Sr3 0.5000 0.4287 0.9549
Sn1 0.0000 0.3597 0.2355
Sn2 0.5000 0.1451 0.7221
# DOS(E_F) in states/eV per cell: 0.28
# E above lowest polymorph in meV/atom: 0
# Total energy in eV/atom: -3.128

(14)
# BaSrSn | the Alexandria database | PBE-GGA | optimized geometry
data_BaSrSn
_chemical_formula_sum 'Ba1 Sr1 Sn1'
_space_group_name_H-M_alt 'P 3 m 1'
_space_group_IT_number 156
_space_group_name_Hall 'P 3 -2"'
_cell_length_a 5.6253
_cell_length_b 5.6253
_cell_length_c 4.5619
_cell_angle_alpha 90.00
_cell_angle_beta 90.00
_cell_angle_gamma 120.00
loop_
_atom_site_label
_atom_site_fract_x
_atom_site_fract_y
_atom_site_fract_z
Ba1 0.0000 0.0000 0.0000
Sr1 0.3333 0.6667 0.4562
Sn1 0.6667 0.3333 0.6513
# DOS(E_F) in states/eV per cell: 1.33
# Total energy in eV/atom: -2.947

(15)
# BaSrSn2 | the Alexandria database | PBE-GGA | optimized geometry
data_BaSrSn2
_chemical_formula_sum 'Ba2 Sr2 Sn4'
_space_group_name_H-M_alt 'P m c 21'
_space_group_IT_number 26
_space_group_name_Hall 'P 2c -2'
_cell_length_a 4.6312
_cell_length_b 6.6836
_cell_length_c 9.7211
_cell_angle_alpha 90.00
_cell_angle_beta 90.00
_cell_angle_gamma 90.00
loop_
_atom_site_label
_atom_site_fract_x
_atom_site_fract_y
_atom_site_fract_z
Ba1 0.0000 0.1338 0.0000
Sr1 0.5000 0.3657 0.6308
Sn1 0.0000 0.3873 0.3515
Sn2 0.5000 0.1261 0.2821
# DOS(E_F) in states/eV per cell: 2.38
# Total energy in eV/atom: -3.573

(16)
# BaSrSn | the Alexandria database | PBE-GGA | optimized geometry
data_BaSrSn
_chemical_formula_sum 'Ba6 Sr6 Sn6'
_space_group_name_H-M_alt 'R -3 m'
_space_group_IT_number 166
_space_group_name_Hall '-R 3 2"'
_cell_length_a 5.7125
_cell_length_b 5.7125
_cell_length_c 26.1521
_cell_angle_alpha 90.00
_cell_angle_beta 90.00
_cell_angle_gamma 120.00
loop_
_atom_site_label
_atom_site_fract_x
_atom_site_fract_y
_atom_site_fract_z
Ba1 0.0000 0.0000 0.2055
Sr1 0.0000 0.0000 0.3689
Sn1 0.0000 0.0000 0.0617
# DOS(E_F) in states/eV per cell: 12.01
# Total energy in eV/atom: -2.992

(17)
# BaSrSn3 | the Alexandria database | PBE-GGA | optimized geometry
data_BaSrSn3
_chemical_formula_sum 'Ba4 Sr4 Sn12'
_space_group_name_H-M_alt 'C m c m'
_space_group_IT_number 63
_space_group_name_Hall '-C 2c 2'
_cell_length_a 5.0244
_cell_length_b 31.0817
_cell_length_c 4.6767
_cell_angle_alpha 90.00
_cell_angle_beta 90.00
_cell_angle_gamma 90.00
loop_
_atom_site_label
_atom_site_fract_x
_atom_site_fract_y
_atom_site_fract_z
Ba1 0.0000 0.0779 0.2500
Sr1 0.0000 0.2040 0.7500
Sn1 0.0000 0.3151 0.7500
Sn2 0.0000 0.3740 0.2500
Sn3 0.0000 0.4726 0.2500
# DOS(E_F) in states/eV per cell: 12.51
# E above lowest polymorph in meV/atom: 0
# Total energy in eV/atom: -3.707

(18)
# BaSrSn2 | the Alexandria database | PBE-GGA | optimized geometry
data_BaSrSn2
_chemical_formula_sum 'Ba4 Sr4 Sn8'
_space_group_name_H-M_alt 'I -4 2 d'
_space_group_IT_number 122
_space_group_name_Hall 'I -4 2bw'
_cell_length_a 9.2835
_cell_length_b 9.2835
_cell_length_c 7.1177
_cell_angle_alpha 90.00
_cell_angle_beta 90.00
_cell_angle_gamma 90.00
loop_
_atom_site_label
_atom_site_fract_x
_atom_site_fract_y
_atom_site_fract_z
Ba1 0.0000 0.0000 0.0000
Sr1 0.0000 0.0000 0.5000
Sn1 0.2376 0.2500 0.6250
# DOS(E_F) in states/eV per cell: 17.59
# Total energy in eV/atom: -3.130

(19)
# BaSrSn6 | the Alexandria database | PBE-GGA | optimized geometry
data_BaSrSn6
_chemical_formula_sum 'Ba1 Sr1 Sn6'
_space_group_name_H-M_alt 'P -6 m 2'
_space_group_IT_number 187
_space_group_name_Hall 'P -6 2'
_cell_length_a 7.0723
_cell_length_b 7.0723
_cell_length_c 5.8402
_cell_angle_alpha 90.00
_cell_angle_beta 90.00
_cell_angle_gamma 120.00
loop_
_atom_site_label
_atom_site_fract_x
_atom_site_fract_y
_atom_site_fract_z
Ba1 0.0000 0.0000 0.0000
Sr1 0.6667 0.3333 0.5000
Sn1 0.0459 0.5230 0.0000
Sn2 0.1901 0.3803 0.5000
# DOS(E_F) in states/eV per cell: 5.22
# Total energy in eV/atom: -3.858

(20)
# BaSr2Sn9 | the Alexandria database | PBE-GGA | optimized geometry
data_BaSr2Sn9
_chemical_formula_sum 'Ba3 Sr6 Sn27'
_space_group_name_H-M_alt 'R -3 m'
_space_group_IT_number 166
_space_group_name_Hall '-R 3 2"'
_cell_length_a 6.3285
_cell_length_b 6.3285
_cell_length_c 32.9558
_cell_angle_alpha 90.00
_cell_angle_beta 90.00
_cell_angle_gamma 120.00
loop_
_atom_site_label
_atom_site_fract_x
_atom_site_fract_y
_atom_site_fract_z
Ba1 0.0000 0.0000 0.0000
Sr1 0.0000 0.0000 0.1409
Sn1 0.0000 0.0000 0.3338
Sn2 0.0000 0.0000 0.5000
Sn3 0.0031 0.5015 0.9156
# DOS(E_F) in states/eV per cell: 18.32
# Total energy in eV/atom: -3.767